(1)
Crystalline MgSeBr2 at its relaxed geometry. Source: the Alexandria database, functional PBE.

Cell: 3.634 3.634 36.617 Å, 90.00 90.00 120.00°
Fractional coordinates of all 12 atoms:
Mg (0.000, 0.000, 0.000)
Mg (0.333, 0.667, 0.667)
Mg (0.667, 0.333, 0.333)
Se (0.000, 0.000, 0.500)
Se (0.333, 0.667, 0.167)
Se (0.667, 0.333, 0.833)
Br (0.000, 0.000, 0.377)
Br (0.000, 0.000, 0.623)
Br (0.333, 0.667, 0.044)
Br (0.333, 0.667, 0.290)
Br (0.667, 0.333, 0.710)
Br (0.667, 0.333, 0.956)

## Properties
Its theoretical density is 3.1 g/cm³. The value obtained for the total energy is -2.73 eV per atom. The energy above the most stable polymorph in this dataset comes out at 0.51 eV/f.u. The calculation puts the formation energy from raw total energies at -0.62 eV/atom.

(2)
Crystalline MgSeBr at its relaxed geometry. Source: the Alexandria database, functional PBE.

Cell: 3.605 3.605 7.676 Å, 90.00 90.00 120.00°
Fractional coordinates of all 3 atoms:
Mg (0.000, 0.000, 0.000)
Se (0.667, 0.333, 0.239)
Br (0.333, 0.667, 0.792)

## Properties
Its theoretical density is 3.5 g/cm³. The value obtained for the total energy is -3.11 eV per atom. The energy above the most stable polymorph in this dataset comes out at 0.00 eV/f.u. The calculation puts the formation energy from raw total energies at -0.86 eV/atom.

| no. | DOS(E_F) (states/eV per cell) | total magnetic moment (μB/atom) |
| --- | --- | --- |
| 1 | 8.2 | 0.28 |
| 2 | 1.6 | 0.00 |